# 1
Density functional theory data (PBE) for a relaxed HfSc3Ti2N6 crystal.

Values from the calculation:
Its formation energy (no corrections) is -1.85 eV per atom. Its space group is No. 12. As for the total energy: -9.740 eV per atom.

Lattice parameters (Å, degrees): 5.410 5.410 5.445 99.58 99.58 119.86
Fractional positions:
Sc  0.832  0.168  0.500
Sc  0.500  0.500  0.500
Sc  0.168  0.832  0.500
Hf  0.000  0.000  0.000
N  0.080  0.417  0.241
N  0.920  0.583  0.759
N  0.257  0.257  0.761
N  0.743  0.743  0.239
N  0.417  0.080  0.241
N  0.583  0.920  0.759
Ti  0.666  0.334  0.000
Ti  0.334  0.666  0.000


# 2
Density functional theory data (PBE) for a relaxed YOs3Br crystal.

Values from the calculation:
The energy above the most stable polymorph in this dataset comes out at 1460 meV/atom. Its formation energy (no corrections) is 3.04 eV per atom. Its space group is No. 221. As for the total energy: -5.327 eV per atom.

Lattice parameters (Å, degrees): 5.098 5.098 5.098 90.00 90.00 90.00
Fractional positions:
Br  0.500  0.500  0.500
Y  0.000  0.000  0.000
Os  0.000  0.000  0.500
Os  0.000  0.500  0.000
Os  0.500  0.000  0.000


Among the records above, which one has the lowest formation energy (no corrections)?
HfSc3Ti2N6


Which value of formation energy (no corrections) does entry 2 give?
3.04 eV per atom


What is the formation energy (no corrections) in the first record?
-1.85 eV per atom